The following is a DFT calculation (PBE-GGA) of a relaxed IrRh5 crystal.

Calculated values
DOS at the Fermi energy	11.97	states/eV per cell
relative energy among the computed polymorphs	0.5184	eV per atom
uncorrected energy	-0.260	Ha/atom

Unit cell a=5.0386 b=5.0386 c=5.0386 alpha=60.00 beta=60.00 gamma=60.00
Last column: nearest neighbours and their distance in Å.
Atoms (fractional coordinates):
Ir: 0.0000 0.0000 0.0000  16 Rh 2.95-3.09
Rh: 0.1249 0.6250 0.6250  6 Rh 2.52
Rh: 0.2500 0.2500 0.2500  12 Rh 2.95, 4 Ir 3.09
Rh: 0.6250 0.1249 0.6250  6 Rh 2.52
Rh: 0.6250 0.6250 0.1249  6 Rh 2.52
Rh: 0.6250 0.6250 0.6250  6 Rh 2.52


The following is a DFT calculation (PBE-GGA) of a relaxed Sc2TiGa2 crystal.

Calculated values
DOS at the Fermi energy	7.05	states/eV per cell
relative energy among the computed polymorphs	0.0085	eV per atom
uncorrected energy	-0.211	Ha/atom

Unit cell a=5.8427 b=5.8427 c=9.2227 alpha=114.71 beta=114.71 gamma=43.80
Last column: nearest neighbours and their distance in Å.
Atoms (fractional coordinates):
Sc: 0.0064 0.0064 0.3320  6 Ga 2.86-3.04, 4 Ti 3.12-3.19, 1 Sc 3.16
Sc: 0.1820 0.1820 0.0820  4 Ga 2.80-2.90, 2 Ti 3.06
Sc: 0.8180 0.8180 0.9180  4 Ga 2.80-2.90, 2 Ti 3.06
Sc: 0.9936 0.9936 0.6680  6 Ga 2.86-3.04, 4 Ti 3.12-3.19, 1 Sc 3.16
Ti: 0.2815 0.2815 0.6683  4 Ga 2.59-2.72
Ti: 0.7185 0.7185 0.3317  4 Ga 2.59-2.72
Ga: 0.3615 0.3615 0.4283  3 Ti 2.59-2.72, 1 Ga 2.68, 1 Sc 2.90
Ga: 0.4593 0.4593 0.1121  1 Ga 2.59, 1 Ti 2.62, 5 Sc 2.80-2.89
Ga: 0.5407 0.5407 0.8879  1 Ga 2.59, 1 Ti 2.62, 5 Sc 2.80-2.89
Ga: 0.6385 0.6385 0.5717  3 Ti 2.59-2.72, 1 Ga 2.68, 1 Sc 2.90


The following is a DFT calculation (PBE-GGA) of a relaxed CoHgPb2 crystal.

Calculated values
DOS at the Fermi energy	2.92	states/eV per cell
uncorrected energy	-0.123	Ha/atom

Unit cell a=9.9695 b=9.9695 c=9.9695 alpha=19.50 beta=19.50 gamma=19.50
Last column: nearest neighbours and their distance in Å.
Atoms (fractional coordinates):
Co: 0.0000 0.0000 0.0000  3 Hg 2.70, 3 Pb 2.72
Hg: 0.7304 0.7304 0.7304  3 Co 2.70
Pb: 0.2685 0.2685 0.2685  3 Co 2.72
Pb: 0.4921 0.4921 0.4921  9 Pb 3.38-3.76, 3 Hg 3.40


The following is a DFT calculation (PBE-GGA) of a relaxed Ac3PmIn8 crystal.

Calculated values
DOS at the Fermi energy	9.78	states/eV per cell
uncorrected energy	-0.134	Ha/atom

Unit cell a=10.9182 b=10.9182 c=10.9182 alpha=33.18 beta=33.18 gamma=33.18
Last column: nearest neighbours and their distance in Å.
Atoms (fractional coordinates):
Ac: 0.0000 0.0000 0.0000  12 In 3.66-3.74, 4 Ac 3.84-3.86
Ac: 0.1248 0.1248 0.1248  12 In 3.64-3.66, 3 Pm 3.83, 1 Ac 3.86
Ac: 0.6237 0.6237 0.6237  12 In 3.66-3.75, 1 Pm 3.82, 3 Ac 3.84
Pm: 0.5003 0.5003 0.5003  12 In 3.63-3.67, 4 Ac 3.82-3.83
In: 0.0610 0.0610 0.5601  6 In 3.10-3.17
In: 0.0610 0.5601 0.0610  6 In 3.10-3.17
In: 0.0647 0.5629 0.5629  6 In 3.11-3.18
In: 0.3118 0.3118 0.3118  6 In 3.17-3.18
In: 0.5601 0.0610 0.0610  6 In 3.10-3.17
In: 0.5629 0.0647 0.5629  6 In 3.11-3.18
In: 0.5629 0.5629 0.0647  6 In 3.11-3.18
In: 0.8125 0.8125 0.8125  6 In 3.10-3.12


The following is a DFT calculation (PBE-GGA) of a relaxed CoIr2Pt crystal.

Calculated values
DOS at the Fermi energy	6.64	states/eV per cell
relative energy among the computed polymorphs	0.2382	eV per atom
uncorrected energy	-0.275	Ha/atom

Unit cell a=2.7093 b=2.7093 c=9.1586 alpha=90.00 beta=90.00 gamma=120.32
Last column: nearest neighbours and their distance in Å.
Atoms (fractional coordinates):
Co: 0.0000 0.0000 0.0000  2 Ir 2.54, 2 Pt 2.61, 6 Co 2.70-2.71
Ir: 0.0000 0.0000 0.4885  8 Ir 2.69-2.71, 2 Pt 2.80
Ir: 0.5000 0.5000 0.2346  2 Co 2.54, 8 Ir 2.69-2.71
Pt: 0.5000 0.5000 0.7563  2 Co 2.61, 6 Pt 2.70-2.71, 2 Ir 2.80


The following is a DFT calculation (PBE-GGA) of a relaxed CaAl4Ag6 crystal.

Calculated values
DOS at the Fermi energy	5.17	states/eV per cell
relative energy among the computed polymorphs	0.0824	eV per atom
uncorrected energy	-0.116	Ha/atom

Unit cell a=6.8660 b=6.8660 c=6.8660 alpha=120.95 beta=120.95 gamma=88.36
Last column: nearest neighbours and their distance in Å.
Atoms (fractional coordinates):
Ca: 0.0000 0.0000 0.0000  12 Ag 3.38-3.60, 4 Al 3.40
Al: 0.2592 0.2592 0.6888  6 Ag 2.54-2.80, 2 Al 2.69
Al: 0.4296 0.7408 0.0000  6 Ag 2.54-2.80, 2 Al 2.69
Al: 0.5704 0.5704 0.3112  6 Ag 2.54-2.80, 2 Al 2.69
Al: 0.7408 0.4296 0.0000  6 Ag 2.54-2.80, 2 Al 2.69
Ag: 0.0000 0.5000 0.5000  4 Al 2.69
Ag: 0.0987 0.5125 0.0000  4 Al 2.54-2.80
Ag: 0.4875 0.4875 0.5862  4 Al 2.54-2.80
Ag: 0.5000 0.0000 0.5000  4 Al 2.69
Ag: 0.5125 0.0987 0.0000  4 Al 2.54-2.80
Ag: 0.9013 0.9013 0.4138  4 Al 2.54-2.80


The following is a DFT calculation (PBE-GGA) of a relaxed TaTl2Mo crystal.

Calculated values
DOS at the Fermi energy	2.78	states/eV per cell
relative energy among the computed polymorphs	0.3344	eV per atom
uncorrected energy	-0.224	Ha/atom

Unit cell a=3.0064 b=3.0064 c=9.7106 alpha=90.00 beta=90.00 gamma=112.67
Last column: nearest neighbours and their distance in Å.
Atoms (fractional coordinates):
Ta: 0.0000 0.0000 0.0000  4 Tl 2.99, 6 Ta 3.01-3.33
Tl: 0.5000 0.5000 0.2559  2 Mo 2.90, 2 Ta 2.99, 4 Tl 3.01
Tl: 0.5000 0.5000 0.7441  2 Mo 2.90, 2 Ta 2.99, 4 Tl 3.01
Mo: 0.0000 0.0000 0.5000  4 Tl 2.90, 4 Mo 3.01


The following is a DFT calculation (PBE-GGA) of a relaxed Ho8GeTe4Pt3 crystal.

Calculated values
DOS at the Fermi energy	10.55	states/eV per cell
energy relative to the elements, uncorrected	-1.219	eV/atom
uncorrected energy	-0.210	Ha/atom

Unit cell a=8.7041 b=8.7041 c=8.7041 alpha=56.81 beta=56.81 gamma=56.81
Last column: nearest neighbours and their distance in Å.
Atoms (fractional coordinates):
Ho: 0.2344 0.7413 0.7413  2 Pt 2.85, 1 Ge 2.89, 3 Te 3.13-3.17
Ho: 0.2372 0.2372 0.2372  3 Pt 2.84, 3 Te 3.18
Ho: 0.2587 0.2587 0.7656  2 Pt 2.85, 1 Ge 2.89, 3 Te 3.13-3.17
Ho: 0.2587 0.7656 0.2587  2 Pt 2.85, 1 Ge 2.89, 3 Te 3.13-3.17
Ho: 0.7413 0.2344 0.7413  2 Pt 2.85, 1 Ge 2.89, 3 Te 3.13-3.17
Ho: 0.7413 0.7413 0.2344  2 Pt 2.85, 1 Ge 2.89, 3 Te 3.13-3.17
Ho: 0.7628 0.7628 0.7628  3 Pt 2.84, 3 Te 3.18
Ho: 0.7656 0.2587 0.2587  2 Pt 2.85, 1 Ge 2.89, 3 Te 3.13-3.17
Ge: 0.5000 0.5000 0.5000  6 Ho 2.89
Te: 0.0000 0.0000 0.0000  6 Ho 3.13
Te: 0.0000 0.5000 0.5000  6 Ho 3.17-3.18
Te: 0.5000 0.0000 0.5000  6 Ho 3.17-3.18
Te: 0.5000 0.5000 0.0000  6 Ho 3.17-3.18
Pt: 0.0000 0.0000 0.5000  6 Ho 2.84-2.85
Pt: 0.0000 0.5000 0.0000  6 Ho 2.84-2.85
Pt: 0.5000 0.0000 0.0000  6 Ho 2.84-2.85


The following is a DFT calculation (PBE-GGA) of a relaxed CrOsRh2 crystal.

Calculated values
DOS at the Fermi energy	3.21	states/eV per cell
relative energy among the computed polymorphs	0.0339	eV per atom
uncorrected energy	-0.328	Ha/atom

Unit cell a=3.7770 b=3.7770 c=3.8402 alpha=90.00 beta=90.00 gamma=90.00
Last column: nearest neighbours and their distance in Å.
Atoms (fractional coordinates):
Cr: 0.0000 0.0000 0.0000  4 Os 2.67, 8 Rh 2.69
Os: 0.5000 0.5000 0.0000  4 Cr 2.67, 8 Rh 2.69
Rh: 0.0000 0.5000 0.5000  4 Rh 2.67, 4 Cr 2.69, 4 Os 2.69
Rh: 0.5000 0.0000 0.5000  4 Rh 2.67, 4 Cr 2.69, 4 Os 2.69


The following is a DFT calculation (PBE-GGA) of a relaxed V2TcIr5Ru crystal.

Calculated values
DOS at the Fermi energy	27.27	states/eV per cell
uncorrected energy	-0.324	Ha/atom

Unit cell a=7.3754 b=7.3754 c=7.3754 alpha=122.72 beta=122.72 gamma=85.35
Last column: nearest neighbours and their distance in Å.
Atoms (fractional coordinates):
V: 0.1059 0.6059 0.7118  1 V 2.12, 2 Ir 2.34
V: 0.3941 0.1059 0.5000  1 V 2.12, 2 Ir 2.34
V: 0.6059 0.8941 0.5000  1 V 2.12, 2 Ir 2.34
V: 0.8941 0.3941 0.2882  1 V 2.12, 2 Ir 2.34
Tc: 0.2500 0.2500 0.0000  10 Ir 2.71-2.84
Tc: 0.7500 0.7500 0.0000  10 Ir 2.71-2.84
Ir: 0.0000 0.0000 0.0000  2 Tc 2.71, 4 V 2.89, 8 Ir 2.90
Ir: 0.0772 0.1611 0.5000  1 V 2.34, 1 Ru 2.45
Ir: 0.1611 0.6611 0.0839  1 V 2.34, 1 Ru 2.45
Ir: 0.3389 0.4228 0.5000  1 V 2.34, 1 Ru 2.45
Ir: 0.4228 0.9228 0.0839  1 V 2.34, 1 Ru 2.45
Ir: 0.5000 0.5000 0.0000  2 Tc 2.71, 4 V 2.89, 8 Ir 2.90
Ir: 0.5772 0.0772 0.9161  1 V 2.34, 1 Ru 2.45
Ir: 0.6611 0.5772 0.5000  1 V 2.34, 1 Ru 2.45
Ir: 0.8389 0.3389 0.9161  1 V 2.34, 1 Ru 2.45
Ir: 0.9228 0.8389 0.5000  1 V 2.34, 1 Ru 2.45
Ru: 0.2500 0.7500 0.5000  4 Ir 2.45
Ru: 0.7500 0.2500 0.5000  4 Ir 2.45


The following is a DFT calculation (PBE-GGA) of a relaxed Ca2AgHPd crystal.

Calculated values
DOS at the Fermi energy	2.59	states/eV per cell
relative energy among the computed polymorphs	0.0000	eV per atom
uncorrected energy	-0.131	Ha/atom

Unit cell a=5.1662 b=5.1662 c=3.6488 alpha=90.00 beta=90.00 gamma=90.00
Last column: nearest neighbours and their distance in Å.
Atoms (fractional coordinates):
Ca: 0.0000 0.5000 0.0000  2 H 2.58
Ca: 0.5000 0.0000 0.0000  2 H 2.58
Ag: 0.0000 0.0000 0.5000  8 Ca 3.16
H: 0.5000 0.5000 0.0000  2 Pd 1.82
Pd: 0.5000 0.5000 0.5000  2 H 1.82


The following is a DFT calculation (PBE-GGA) of a relaxed Mg2Br crystal.

Calculated values
DOS at the Fermi energy	0.71	states/eV per cell
relative energy among the computed polymorphs	0.0895	eV per atom
energy relative to the elements, uncorrected	-0.425	eV/atom
uncorrected energy	-0.075	Ha/atom

Unit cell a=3.7310 b=3.7310 c=6.2649 alpha=90.00 beta=90.00 gamma=120.00
Last column: nearest neighbours and their distance in Å.
Atoms (fractional coordinates):
Mg: 0.3333 0.6667 0.3347  3 Mg 2.99, 3 Br 3.01
Mg: 0.6667 0.3333 0.6653  3 Mg 2.99, 3 Br 3.01
Br: 0.0000 0.0000 0.0000  6 Mg 3.01


The following is a DFT calculation (PBE-GGA) of a relaxed LaPr2NdMg crystal.

Calculated values
DOS at the Fermi energy	14.20	states/eV per cell
uncorrected energy	-0.148	Ha/atom

Unit cell a=6.2046 b=7.8547 c=7.0379 alpha=90.00 beta=90.00 gamma=90.00
Last column: nearest neighbours and their distance in Å.
Atoms (fractional coordinates):
La: 0.2500 0.0000 0.0919  2 Pr 3.08, 2 Mg 3.26, 2 La 3.36
La: 0.7500 0.0000 0.9081  2 Pr 3.08, 2 Mg 3.26, 2 La 3.36
Pr: 0.2500 0.2864 0.7938  1 La 3.08, 1 Pr 3.35, 2 Mg 3.43
Pr: 0.2500 0.7136 0.7938  1 La 3.08, 1 Pr 3.35, 2 Mg 3.43
Pr: 0.7500 0.2864 0.2062  1 La 3.08, 1 Pr 3.35, 2 Mg 3.43
Pr: 0.7500 0.7136 0.2062  1 La 3.08, 1 Pr 3.35, 2 Mg 3.43
Nd: 0.2500 0.5000 0.3323  6 Pr 3.64-3.66, 2 Nd 3.90
Nd: 0.7500 0.5000 0.6677  6 Pr 3.64-3.66, 2 Nd 3.90
Mg: 0.0000 0.0000 0.5000  2 Mg 3.10, 2 La 3.26, 4 Pr 3.43
Mg: 0.5000 0.0000 0.5000  2 Mg 3.10, 2 La 3.26, 4 Pr 3.43


The following is a DFT calculation (PBE-GGA) of a relaxed NbAlGa2 crystal.

Calculated values
DOS at the Fermi energy	2.90	states/eV per cell
uncorrected energy	-0.189	Ha/atom

Unit cell a=4.0080 b=4.0080 c=4.0159 alpha=90.00 beta=90.00 gamma=90.00
Last column: nearest neighbours and their distance in Å.
Atoms (fractional coordinates):
Nb: 0.0000 0.0000 0.0000  4 Al 2.83, 8 Ga 2.84
Al: 0.5000 0.5000 0.0000  4 Nb 2.83, 8 Ga 2.84
Ga: 0.0000 0.5000 0.5000  4 Ga 2.83, 4 Nb 2.84, 4 Al 2.84
Ga: 0.5000 0.0000 0.5000  4 Ga 2.83, 4 Nb 2.84, 4 Al 2.84


The following is a DFT calculation (PBE-GGA) of a relaxed DyHo3Ru3 crystal.

Calculated values
DOS at the Fermi energy	2.73	states/eV per cell
relative energy among the computed polymorphs	0.0000	eV per atom
uncorrected energy	-0.256	Ha/atom

Unit cell a=5.8152 b=5.8152 c=5.8152 alpha=109.47 beta=109.47 gamma=109.47
Last column: nearest neighbours and their distance in Å.
Atoms (fractional coordinates):
Dy: 0.0000 0.0000 0.0000  6 Ru 2.78-3.11
Ho: 0.1722 0.5862 0.5862  6 Ru 2.78-3.11
Ho: 0.5862 0.1722 0.5862  6 Ru 2.78-3.11
Ho: 0.5862 0.5862 0.1722  6 Ru 2.78-3.11
Ru: 0.0862 0.0862 0.5861  6 Ho 2.78-3.11, 2 Dy 2.78-3.11
Ru: 0.0862 0.5861 0.0862  6 Ho 2.78-3.11, 2 Dy 2.78-3.11
Ru: 0.5861 0.0862 0.0862  6 Ho 2.78-3.11, 2 Dy 2.78-3.11


The following is a DFT calculation (PBE-GGA) of a relaxed Tm2ScAs crystal.

Calculated values
DOS at the Fermi energy	5.88	states/eV per cell
uncorrected energy	-0.193	Ha/atom

Unit cell a=9.9729 b=9.9729 c=9.9729 alpha=21.48 beta=21.48 gamma=21.48
Last column: nearest neighbours and their distance in Å.
Atoms (fractional coordinates):
Tm: 0.1079 0.1079 0.1079  3 As 2.75
Tm: 0.8921 0.8921 0.8921  3 As 2.75
Sc: 0.0000 0.0000 0.0000  2 Tm 3.15
As: 0.5000 0.5000 0.5000  6 Tm 2.75


The following is a DFT calculation (PBE-GGA) of a relaxed NaNiH4 crystal.

Calculated values
DOS at the Fermi energy	1.66	states/eV per cell
uncorrected energy	-0.128	Ha/atom

Unit cell a=5.7770 b=5.7770 c=4.5322 alpha=113.04 beta=113.04 gamma=46.19
Last column: nearest neighbours and their distance in Å.
Atoms (fractional coordinates):
Na: 0.2503 0.7497 0.7500  8 H 2.43-2.44
Na: 0.7497 0.2503 0.2500  8 H 2.43-2.44
Ni: 0.0000 0.5000 0.0000  6 H 1.52-1.60
Ni: 0.5000 0.0000 0.5000  6 H 1.52-1.60
H: 0.1565 0.6595 0.1578  1 Ni 1.52
H: 0.2502 0.2521 0.2522  2 Ni 1.60
H: 0.2521 0.2502 0.7522  2 Ni 1.60
H: 0.3405 0.8435 0.3422  1 Ni 1.52
H: 0.6595 0.1565 0.6578  1 Ni 1.52
H: 0.7479 0.7498 0.2478  2 Ni 1.60
H: 0.7498 0.7479 0.7478  2 Ni 1.60
H: 0.8435 0.3405 0.8422  1 Ni 1.52


The following is a DFT calculation (PBE-GGA) of a relaxed CeAlSi crystal.

Calculated values
DOS at the Fermi energy	10.88	states/eV per cell
energy relative to the elements, uncorrected	-0.588	eV/atom
uncorrected energy	-0.207	Ha/atom

Unit cell a=7.8768 b=7.8768 c=7.8768 alpha=149.10 beta=149.10 gamma=44.26
Last column: nearest neighbours and their distance in Å.
Atoms (fractional coordinates):
Ce: 0.0000 0.0000 0.0000  6 Si 3.20-3.22, 6 Al 3.21
Ce: 0.7500 0.2500 0.5000  6 Si 3.20-3.22, 6 Al 3.21
Al: 0.3334 0.8334 0.5000  3 Si 2.42-2.43
Al: 0.5834 0.5834 0.0000  3 Si 2.42-2.43
Si: 0.1673 0.6673 0.5000  3 Al 2.42-2.43
Si: 0.4173 0.4173 0.0000  3 Al 2.42-2.43


Theoretical density: 12.975, 4.732, 11.588, 8.350, 18.269, 5.856, 14.058, 9.562, 13.581, 15.463, 5.038, 2.826, 5.706, 6.675, 10.537, 6.525, 2.882, 5.044 (g/cm3)